A relaxed structure of MgAg2Br, computed with PBE.

space-group type	Imm2
excess energy over the best structure of this formula in the dataset	210	meV/atom

Cell lengths 5.8297, 5.8297, 5.8297 Å; angles 147.39, 115.30, 74.36 degrees
Atoms (fractional coordinates):
Ag 0.0099 0.0099 0.0000
Ag 0.7586 0.2586 0.5000
Mg 0.2564 0.7564 0.5000
Br 0.4751 0.4751 0.0000



A relaxed structure of Mg2Ag2Br, computed with PBE.

space-group type	I4/mmm
excess energy over the best structure of this formula in the dataset	0	meV/atom

Cell lengths 3.8362, 3.8362, 8.6279 Å; angles 77.16, 77.16, 90.00 degrees
Atoms (fractional coordinates):
Ag 0.2500 0.7500 0.5000
Ag 0.7500 0.2500 0.5000
Mg 0.6207 0.6207 0.7586
Mg 0.3793 0.3793 0.2414
Br 0.0000 0.0000 0.0000



A relaxed structure of MgAg2Br, computed with PBE.

space-group type	Cm
excess energy over the best structure of this formula in the dataset	0	meV/atom

Cell lengths 4.9677, 4.9677, 6.8585 Å; angles 86.09, 86.09, 41.26 degrees
Atoms (fractional coordinates):
Ag 0.9351 0.9351 0.9914
Ag 0.6577 0.6577 0.8692
Br 0.6932 0.6932 0.4607
Mg 0.2140 0.2140 0.1788



A relaxed structure of MgAgBr2, computed with PBE.

space-group type	P4/mmm
excess energy over the best structure of this formula in the dataset	421	meV/atom

Cell lengths 3.6176, 5.1070, 5.1070 Å; angles 90.00, 90.00, 90.00 degrees
Atoms (fractional coordinates):
Br 0.0000 0.0000 0.0000
Br 0.0000 0.5000 0.5000
Ag 0.5000 0.0000 0.5000
Mg 0.5000 0.5000 0.0000



A relaxed structure of MgAg2Br, computed with PBE.

space-group type	F-43m
excess energy over the best structure of this formula in the dataset	359	meV/atom

Cell lengths 4.9741, 4.9741, 4.9741 Å; angles 60.00, 60.00, 60.00 degrees
Atoms (fractional coordinates):
Br 0.5000 0.5000 0.5000
Mg 0.7500 0.7500 0.7500
Ag 0.0000 0.0000 0.0000
Ag 0.2500 0.2500 0.2500



A relaxed structure of MgAgBr3, computed with PBE.

space-group type	Pm-3m
excess energy over the best structure of this formula in the dataset	305	meV/atom

Cell lengths 5.2448, 5.2448, 5.2448 Å; angles 90.00, 90.00, 90.00 degrees
Atoms (fractional coordinates):
Br 0.0000 0.5000 0.0000
Br 0.5000 0.0000 0.0000
Br 0.0000 0.0000 0.5000
Ag 0.5000 0.5000 0.5000
Mg 0.0000 0.0000 0.0000



A relaxed structure of MgAgBr2, computed with PBE.

space-group type	P4mm
excess energy over the best structure of this formula in the dataset	285	meV/atom

Cell lengths 4.2285, 4.2220, 5.8682 Å; angles 90.00, 90.00, 90.00 degrees
Atoms (fractional coordinates):
Br 0.0000 0.0000 0.8751
Br 0.5000 0.5000 0.3748
Ag 0.5000 0.5000 0.8745
Mg 0.0000 0.0000 0.3756



A relaxed structure of Mg5Ag3Br12, computed with PBE.

space-group type	Ia-3d

Cell lengths 14.5258, 14.5258, 14.5258 Å; angles 109.47, 109.47, 109.47 degrees
Atoms (fractional coordinates):
Br 0.8224 0.9086 0.0288
Br 0.9086 0.0861 0.8798
Br 0.5288 0.2064 0.1202
Br 0.4712 0.7936 0.8798
Br 0.0914 0.9139 0.1202
Br 0.6776 0.4712 0.5914
Br 0.4139 0.2936 0.3224
Br 0.2936 0.8798 0.9712
Br 0.3798 0.9712 0.7936
Br 0.0861 0.1776 0.2064
Br 0.4139 0.1202 0.5914
Br 0.6202 0.0288 0.2064
Br 0.9712 0.3798 0.2936
Br 0.1776 0.0861 0.7064
Br 0.0861 0.9086 0.3798
Br 0.1202 0.7064 0.5288
Br 0.8798 0.5861 0.9086
Br 0.4712 0.6776 0.0914
Br 0.4086 0.3798 0.5861
Br 0.2936 0.4139 0.8224
Br 0.7064 0.1202 0.0288
Br 0.5914 0.9712 0.6776
Br 0.7936 0.3224 0.9139
Br 0.2064 0.5288 0.6202
Br 0.9712 0.5914 0.1776
Br 0.5861 0.7064 0.6776
Br 0.7936 0.4712 0.3798
Br 0.3224 0.7936 0.4139
Br 0.8224 0.9139 0.2936
Br 0.6776 0.2064 0.5861
Br 0.1776 0.0914 0.9712
Br 0.1202 0.4139 0.0914
Br 0.5288 0.3224 0.9086
Br 0.7064 0.5861 0.1776
Br 0.9086 0.8224 0.5288
Br 0.0288 0.6202 0.7064
Br 0.6202 0.5914 0.9139
Br 0.5861 0.8798 0.4086
Br 0.0914 0.1776 0.4712
Br 0.0288 0.4086 0.8224
Br 0.8798 0.2936 0.4712
Br 0.9139 0.8224 0.7936
Br 0.4086 0.0288 0.3224
Br 0.3224 0.5288 0.4086
Br 0.3798 0.4086 0.0861
Br 0.5914 0.6202 0.4139
Br 0.2064 0.6776 0.0861
Br 0.9139 0.0914 0.6202
Ag 0.8750 0.1250 0.2500
Ag 0.8750 0.7500 0.1250
Ag 0.1250 0.2500 0.8750
Ag 0.2500 0.6250 0.8750
Ag 0.1250 0.8750 0.7500
Ag 0.6250 0.3750 0.7500
Ag 0.3750 0.6250 0.2500
Ag 0.7500 0.3750 0.1250
Ag 0.3750 0.7500 0.6250
Ag 0.2500 0.1250 0.3750
Ag 0.6250 0.2500 0.3750
Ag 0.7500 0.8750 0.6250
Mg 0.5000 0.5000 0.0000
Mg 0.2500 0.8750 0.1250
Mg 0.6250 0.7500 0.8750
Mg 0.2500 0.3750 0.6250
Mg 0.3750 0.1250 0.7500
Mg 0.1250 0.7500 0.3750
Mg 0.0000 0.5000 0.0000
Mg 0.0000 0.5000 0.5000
Mg 0.3750 0.2500 0.1250
Mg 0.0000 0.0000 0.5000
Mg 0.0000 0.0000 0.0000
Mg 0.5000 0.0000 0.5000
Mg 0.5000 0.0000 0.0000
Mg 0.5000 0.5000 0.5000
Mg 0.7500 0.6250 0.3750
Mg 0.8750 0.2500 0.6250
Mg 0.1250 0.3750 0.2500
Mg 0.7500 0.1250 0.8750
Mg 0.6250 0.8750 0.2500
Mg 0.8750 0.6250 0.7500



Number 1: magnetic moment 0.0 μB per formula unit, formation energy from raw total energies -25 kJ/mol of formula units. Number 2: magnetic moment 0.0 μB per formula unit, formation energy from raw total energies -90 kJ/mol of formula units. Number 3: magnetic moment 0.0 μB per formula unit, formation energy from raw total energies -106 kJ/mol of formula units. Number 4: magnetic moment 0.0 μB per formula unit, formation energy from raw total energies -118 kJ/mol of formula units. Number 5: magnetic moment 0.0 μB per formula unit, formation energy from raw total energies 32 kJ/mol of formula units. Number 6: magnetic moment 0.0 μB per formula unit, formation energy from raw total energies -335 kJ/mol of formula units. Number 7: magnetic moment 0.0 μB per formula unit, formation energy from raw total energies -171 kJ/mol of formula units. Number 8: magnetic moment 0.0 μB per formula unit, formation energy from raw total energies -1863 kJ/mol of formula units.